1.
# CaCd4Ag (PBEsol, relaxed)
data_CaCd4Ag
_symmetry_space_group_name_H-M 'P 1'
_symmetry_Int_Tables_number 1
_cell_length_a 5.693
_cell_length_b 5.693
_cell_length_c 5.693
_cell_angle_alpha 60.00
_cell_angle_beta 60.00
_cell_angle_gamma 60.00
loop_
_symmetry_equiv_pos_as_xyz
'x,y,z'
loop_
_atom_site_label
_atom_site_fract_x
_atom_site_fract_y
_atom_site_fract_z
Cd1 0.375 0.874 0.375
Cd2 0.375 0.375 0.375
Cd3 0.874 0.375 0.375
Ag1 0.750 0.750 0.750
Ca1 0.000 0.000 0.000
Cd4 0.375 0.375 0.874
# Calculated density, g cm⁻³: 7.6
# Energy of formation from the pure elements, eV/atom: -0.129
# Symmetry: F-43m, No. 216

***

2.
# ScPt4Cl (PBEsol, relaxed)
data_ScPt4Cl
_symmetry_space_group_name_H-M 'P 1'
_symmetry_Int_Tables_number 1
_cell_length_a 5.253
_cell_length_b 5.253
_cell_length_c 5.253
_cell_angle_alpha 60.00
_cell_angle_beta 60.00
_cell_angle_gamma 60.00
loop_
_symmetry_equiv_pos_as_xyz
'x,y,z'
loop_
_atom_site_label
_atom_site_fract_x
_atom_site_fract_y
_atom_site_fract_z
Pt1 0.375 0.875 0.375
Pt2 0.375 0.375 0.875
Sc1 0.750 0.750 0.750
Pt3 0.375 0.375 0.375
Pt4 0.875 0.375 0.375
Cl1 0.000 0.000 0.000
# Calculated density, g cm⁻³: 13.9
# Formation energy (no corrections), meV per atom: -379
# Symmetry: F-43m, No. 216

***

Number 1: spin magnetization 0.00 μB per formula unit. Number 2: spin magnetization 0.00 μB per formula unit.